Record 1
A plane-wave DFT calculation with GGA-PBE was carried out for a relaxed structure of KReN2F.

The structure in POSCAR format:
```
KReN2F
1.0
3.8783 0.0000 0.0000
0.0000 3.8783 0.0000
0.0000 0.0000 4.5951
K Re N F
1 1 2 1
direct
0.0000 0.0000 0.0000 K
0.5000 0.5000 0.5000 Re
0.0000 0.5000 0.5000 N
0.5000 0.0000 0.5000 N
0.5000 0.5000 0.0000 F
```

Output
**SG**: No. 123
**Total DFT energy (no corrections)**: -6.967 eV/atom
**Formation energy (no corrections)**: -0.55 eV/atom
**Energy relative to the lowest polymorph listed for this composition**: 0 meV per atom

Record 2
A plane-wave DFT calculation with GGA-PBE was carried out for a relaxed structure of Mg2PaPbO8.

The structure in POSCAR format:
```
Mg2PaPbO8
1.0
-3.3114 3.3114 3.7466
3.3114 -3.3114 3.7466
3.3114 3.3114 -3.7466
Mg Pa Pb O
2 1 1 8
direct
0.0000 0.0000 0.0000 Mg
0.7500 0.2500 0.5000 Mg
0.5000 0.5000 0.0000 Pa
0.2500 0.7500 0.5000 Pb
0.1419 0.4524 0.6895 O
0.2108 0.0320 0.8212 O
0.2108 0.3895 0.1788 O
0.5476 0.2371 0.6895 O
0.5476 0.8581 0.3105 O
0.6105 0.7892 0.8212 O
0.7629 0.4524 0.3105 O
0.9680 0.7892 0.1788 O
```

Output
**SG**: No. 119
**Total DFT energy (no corrections)**: -6.447 eV/atom
**Formation energy (no corrections)**: -1.78 eV/atom

Record 3
A plane-wave DFT calculation with GGA-PBE was carried out for a relaxed structure of Y3ZnH.

The structure in POSCAR format:
```
Y3ZnH
1.0
4.7888 0.0000 0.0000
0.0000 4.7888 0.0000
0.0000 0.0000 4.7888
Y Zn H
3 1 1
direct
0.0000 0.0000 0.5000 Y
0.0000 0.5000 0.0000 Y
0.5000 0.0000 0.0000 Y
0.5000 0.5000 0.5000 Zn
0.0000 0.0000 0.0000 H
```

Output
**SG**: No. 221
**Total DFT energy (no corrections)**: -4.973 eV/atom
**Energy relative to the lowest polymorph listed for this composition**: 32 meV per atom

Record 4
A plane-wave DFT calculation with GGA-PBE was carried out for a relaxed structure of PrEuAsPd.

The structure in POSCAR format:
```
PrEuAsPd
1.0
0.0000 3.6695 3.6695
3.6695 0.0000 3.6695
3.6695 3.6695 0.0000
Pr Eu As Pd
1 1 1 1
direct
0.0000 0.0000 0.0000 Pr
0.5000 0.5000 0.5000 Eu
0.2500 0.2500 0.2500 As
0.7500 0.7500 0.7500 Pd
```

Output
**SG**: No. 216
**Total DFT energy (no corrections)**: -7.134 eV/atom
**E_form**: -0.910 eV/atom

Record 5
A plane-wave DFT calculation with GGA-PBE was carried out for a relaxed structure of GaBrOF2.

The structure in POSCAR format:
```
GaBrOF2
1.0
3.8303 0.0000 0.0000
0.0000 3.8303 0.0000
0.0000 0.0000 4.3485
Ga Br O F
1 1 1 2
direct
0.0000 0.0000 0.0000 Ga
0.5000 0.5000 0.5000 Br
0.0000 0.0000 0.5000 O
0.0000 0.5000 0.0000 F
0.5000 0.0000 0.0000 F
```

Output
**SG**: No. 123
**Total DFT energy (no corrections)**: -3.794 eV/atom
**Formation energy (no corrections)**: -1.11 eV/atom
**Energy relative to the lowest polymorph listed for this composition**: 0 meV per atom

Record 6
A plane-wave DFT calculation with GGA-PBE was carried out for a relaxed structure of Ta2CdRh.

The structure in POSCAR format:
```
Ta2CdRh
1.0
-1.4964 2.4559 4.8454
1.4964 -2.4559 4.8454
1.4964 2.4559 -4.8454
Ta Cd Rh
2 1 1
direct
0.0000 0.0000 0.0000 Ta
0.7523 0.2523 0.5000 Ta
0.2798 0.7798 0.5000 Cd
0.5269 0.5269 0.0000 Rh
```

Output
**SG**: No. 44
**Total DFT energy (no corrections)**: -7.943 eV/atom
**E_form**: 0.050 eV/atom

Record 7
A plane-wave DFT calculation with GGA-PBE was carried out for a relaxed structure of NdEr4S7.

The structure in POSCAR format:
```
NdEr4S7
1.0
6.4549 -1.8994 0.0000
6.4549 1.8994 0.0000
-2.8879 0.0000 11.2704
Nd Er S
1 4 7
direct
0.0000 0.0000 0.0000 Nd
0.1126 0.1126 0.4224 Er
0.2235 0.2235 0.8368 Er
0.4115 0.4115 0.6046 Er
0.8123 0.8123 0.2352 Er
0.0680 0.0680 0.6338 S
0.1577 0.1577 0.2120 S
0.3614 0.3614 0.0692 S
0.4547 0.4547 0.3699 S
0.6156 0.6156 0.9127 S
0.7708 0.7708 0.4705 S
0.8492 0.8492 0.7659 S
```

Output
**SG**: No. 8
**Total DFT energy (no corrections)**: -6.370 eV/atom
**Formation energy (no corrections)**: -2.04 eV/atom

Record 8
A plane-wave DFT calculation with GGA-PBE was carried out for a relaxed structure of Ba2Ca2Ir.

The structure in POSCAR format:
```
Ba2Ca2Ir
1.0
7.5719 0.0000 0.0000
0.0000 7.5719 0.0000
0.0000 0.0000 6.5121
Ba Ca Ir
4 4 2
direct
0.1876 0.3124 0.0000 Ba
0.3124 0.8124 0.0000 Ba
0.6876 0.1876 0.0000 Ba
0.8124 0.6876 0.0000 Ba
0.1701 0.6701 0.5000 Ca
0.3299 0.1701 0.5000 Ca
0.6701 0.8299 0.5000 Ca
0.8299 0.3299 0.5000 Ca
0.0000 0.0000 0.5000 Ir
0.5000 0.5000 0.5000 Ir
```

Output
**SG**: No. 127
**Total DFT energy (no corrections)**: -3.223 eV/atom
**E_form**: 0.118 eV/atom
**Energy relative to the lowest polymorph listed for this composition**: 255 meV per atom

Question: The highest total DFT energy (no corrections) belongs to which entry?
Answer: Ba2Ca2Ir